# PrEuZrFeO6

An optimized crystal structure of PrEuZrFeO6 (PBE+U, Alexandria via LeMat-Bulk).

```
10
Lattice="0.000 3.989 3.989 3.989 0.000 3.989 3.989 3.989 0.000" Properties=species:S:1:pos:R:3 pbc="T T T"
O 3.989 6.051 3.989
O 3.989 1.927 3.989
O 1.927 3.989 3.989
O 6.051 3.989 3.989
O 3.989 3.989 6.051
O 3.989 3.989 1.927
Eu 5.984 5.984 5.984
Fe 0.000 0.000 0.000
Pr 1.995 1.995 1.995
Zr 3.989 3.989 3.989
```

Computed properties:
- raw total energy (eV per atom) = -8.3820
- symmetry = F-43m (216)
- density of states at the Fermi level (states/eV per cell) = 16.94
- spin magnetization (μB per formula unit) = 7.35